[1]
The following is a DFT calculation (PBE-GGA) of a relaxed RbIrPt crystal.

DFT total energy ... -11.789 eV/f.u.
Spin magnetization ... 1.577 μB per formula unit
Calculated density ... 10.8 g cm⁻³

a b c (Å): 4.6868 4.6868 4.6868
angles (deg): 60.00 60.00 60.00
Atoms (fractional coordinates):
Ir1 0.0000 0.0000 0.0000
Pt1 0.2500 0.2500 0.2500
Rb1 0.7500 0.7500 0.7500



[2]
The following is a DFT calculation (PBE-GGA) of a relaxed Re6IrPt crystal.

DFT total energy ... -91.284 eV/f.u.
Spin magnetization ... 0.003 μB per formula unit
Calculated density ... 21.1 g cm⁻³

a b c (Å): 5.5690 5.5690 4.4069
angles (deg): 90.00 90.00 120.00
Atoms (fractional coordinates):
Ir1 0.0000 0.0000 0.0000
Pt1 0.3333 0.6667 0.5000
Re1 0.5072 0.0144 0.0000
Re2 0.5072 0.4928 0.0000
Re3 0.9856 0.4928 0.0000
Re4 0.3477 0.1738 0.5000
Re5 0.8262 0.1738 0.5000
Re6 0.8262 0.6523 0.5000



[3]
The following is a DFT calculation (PBE-GGA) of a relaxed ReIr2Pt2 crystal.

DFT total energy ... -39.068 eV/f.u.
Spin magnetization ... 1.507 μB per formula unit
Calculated density ... 19.1 g cm⁻³

a b c (Å): 6.8631 6.8631 6.8631
angles (deg): 149.44 149.44 43.76
Atoms (fractional coordinates):
Ir1 0.4045 0.4045 0.0000
Ir2 0.5955 0.5955 0.0000
Pt1 0.7500 0.2500 0.5000
Pt2 0.2500 0.7500 0.5000
Re1 0.0000 0.0000 0.0000



[4]
The following is a DFT calculation (PBE-GGA) of a relaxed Re2Ir2Pt crystal.

DFT total energy ... -46.408 eV/f.u.
Spin magnetization ... 0.000 μB per formula unit
Calculated density ... 19.1 g cm⁻³

a b c (Å): 6.4455 6.4455 6.4455
angles (deg): 146.11 146.11 48.68
Atoms (fractional coordinates):
Ir1 0.3974 0.3974 0.0000
Ir2 0.6026 0.6026 0.0000
Pt1 0.0000 0.0000 0.0000
Re1 0.7500 0.2500 0.5000
Re2 0.2500 0.7500 0.5000



[5]
The following is a DFT calculation (PBE-GGA) of a relaxed SbIrPt crystal.

DFT total energy ... -19.029 eV/f.u.
Spin magnetization ... 0.003 μB per formula unit
Calculated density ... 14.7 g cm⁻³

a b c (Å): 4.3329 4.3329 4.3329
angles (deg): 60.00 60.00 60.00
Atoms (fractional coordinates):
Ir1 0.2500 0.2500 0.2500
Pt1 0.7500 0.7500 0.7500
Sb1 0.0000 0.0000 0.0000



[6]
The following is a DFT calculation (PBE-GGA) of a relaxed ScIrPt2 crystal.

DFT total energy ... -29.179 eV/f.u.
Spin magnetization ... 0.009 μB per formula unit
Calculated density ... 16.0 g cm⁻³

a b c (Å): 4.5162 4.5162 4.5162
angles (deg): 60.00 60.00 60.00
Atoms (fractional coordinates):
Ir1 0.5000 0.5000 0.5000
Pt1 0.0000 0.0000 0.0000
Pt2 0.2500 0.2500 0.2500
Sc1 0.7500 0.7500 0.7500



- DFT total energy of number 3 (ReIr2Pt2)?
  -39.068 eV/f.u.



- What is the formula in the fourth record?
  Re2Ir2Pt